No. 1
Material: Pr4CCl6
Method: DFT, PBE
State: relaxed

total energy	-5.224	eV/atom
E_form (uncorrected)	-158.3	kJ per mole of atoms

a = 9.3193 Å, b = 9.3193 Å, c = 6.7565 Å
α = 90.00°, β = 90.00°, γ = 90.00°
Closest atoms and distances in Å follow each position.
Space group P4_2/nmc (No. 137, origin choice 2)
Inequivalent atoms, fractional coordinates:
Pr: 0.0132 0.7500 0.1085 [8 per cell]  1 C 2.40
C: 0.2500 0.7500 0.2500 [2 per cell]  4 Pr 2.40
Cl: 0.0472 0.5472 0.7500 [8 per cell]  4 Pr 2.98-3.09
Cl: 0.2500 0.2500 0.1535 [4 per cell]  4 Pr 2.93-3.03


No. 2
Material: Al2CuB
Method: DFT, PBE
State: relaxed

E_form	0.5959	eV per atom
total energy	-3.969	eV/atom

a = 5.0816 Å, b = 5.0816 Å, c = 11.1256 Å
α = 90.00°, β = 90.00°, γ = 90.00°
Closest atoms and distances in Å follow each position.
Space group I-42d (No. 122)
Inequivalent atoms, fractional coordinates:
Al: 0.1687 0.2500 0.1250 [8 per cell]  2 B 2.07
Cu: 0.0000 0.0000 0.5000 [4 per cell]  4 Al 2.53
B: 0.0000 0.0000 0.0000 [4 per cell]  4 Al 2.07


No. 3
Material: Sm8Ir3Au2
Method: DFT, PBE
State: relaxed

E_form	-0.5754	eV per atom
total energy	-6.029	eV/atom

a = 10.0639 Å, b = 14.3583 Å, c = 4.9447 Å
α = 90.00°, β = 90.00°, γ = 90.00°
Closest atoms and distances in Å follow each position.
Space group Cmmm (No. 65)
Inequivalent atoms, fractional coordinates:
Sm: 0.0000 0.1168 0.0000 [4 per cell]  2 Ir 2.98, 2 Au 3.05
Sm: 0.0000 0.3817 0.0000 [4 per cell]  4 Ir 3.00-3.08, 2 Au 3.19
Sm: 0.2455 0.3821 0.5000 [8 per cell]  3 Ir 3.00, 2 Au 3.12-3.19
Ir: 0.0000 0.5000 0.5000 [2 per cell]  8 Sm 3.00
Ir: 0.2449 0.0000 0.0000 [4 per cell]  8 Sm 2.98-3.08
Au: 0.0000 0.2415 0.5000 [4 per cell]  8 Sm 3.05-3.19


No. 4
Material: TiP
Method: DFT, PBE
State: relaxed

E_form	-0.4899	eV per atom
total energy	-7.142	eV/atom

a = 5.5467 Å, b = 5.5467 Å, c = 5.5467 Å
α = 90.00°, β = 90.00°, γ = 90.00°
Closest atoms and distances in Å follow each position.
Space group F-43m (No. 216)
Inequivalent atoms, fractional coordinates:
Ti: 0.0000 0.0000 0.0000 [4 per cell]  4 P 2.40
P: 0.2500 0.2500 0.2500 [4 per cell]  4 Ti 2.40


No. 5
Material: CeTlIn2Co
Method: DFT, PBE
State: relaxed

E_form	-0.2921	eV per atom
total energy	-4.469	eV/atom

a = 5.0718 Å, b = 5.0718 Å, c = 4.7824 Å
α = 90.00°, β = 90.00°, γ = 90.00°
Closest atoms and distances in Å follow each position.
Space group P4/mmm (No. 123)
Inequivalent atoms, fractional coordinates:
Ce: 0.0000 0.0000 0.0000 [1 per cell]  2 Co 2.39
Tl: 0.5000 0.5000 0.0000 [1 per cell]  8 In 3.49, 4 Ce 3.59
In: 0.0000 0.5000 0.5000 [2 per cell]  2 Co 2.54
Co: 0.0000 0.0000 0.5000 [1 per cell]  2 Ce 2.39, 4 In 2.54


No. 6
Material: CaMgTc2
Method: DFT, PBE
State: relaxed

E_form	0.5626	eV per atom
total energy	-5.519	eV/atom

a = 3.9199 Å, b = 3.9199 Å, c = 4.6807 Å
α = 90.00°, β = 90.00°, γ = 90.00°
Closest atoms and distances in Å follow each position.
Space group P4/mmm (No. 123)
Inequivalent atoms, fractional coordinates:
Ca: 0.0000 0.0000 0.0000 [1 per cell]  4 Mg 2.77, 8 Tc 3.05
Mg: 0.5000 0.5000 0.0000 [1 per cell]  4 Ca 2.77, 8 Tc 3.05
Tc: 0.0000 0.5000 0.5000 [2 per cell]  4 Tc 2.77, 4 Mg 3.05, 4 Ca 3.05


No. 7
Material: MnGe2Br8
Method: DFT, PBE
State: relaxed

total energy	-3.383	eV/atom
E_form (uncorrected)	-47.6	kJ per mole of atoms

a = 10.6562 Å, b = 10.8569 Å, c = 7.4391 Å
α = 90.00°, β = 104.31°, γ = 90.00°
Closest atoms and distances in Å follow each position.
Space group C2/m (No. 12)
Inequivalent atoms, fractional coordinates:
Mn: 0.0000 0.0000 0.0000 [2 per cell]  6 Br 2.45-2.47
Ge: 0.1571 0.0000 0.5894 [4 per cell]  1 Br 2.38
Br: 0.0739 0.1619 0.8161 [8 per cell]  1 Mn 2.47, 1 Ge 2.73
Br: 0.1175 0.5000 0.2668 [4 per cell]  1 Ge 2.38
Br: 0.2148 0.0000 0.2144 [4 per cell]  1 Mn 2.45


No. 8
Material: AlCrNi6
Method: DFT, PBE
State: relaxed

relative energy among the computed polymorphs	4	meV/atom
E_form	-0.2309	eV per atom
total energy	-6.238	eV/atom

a = 7.1002 Å, b = 10.0419 Å, c = 10.0421 Å
α = 90.00°, β = 90.00°, γ = 90.00°
Closest atoms and distances in Å follow each position.
Space group Cmmm (No. 65)
Inequivalent atoms, fractional coordinates:
Al: 0.0000 0.0000 0.2496 [4 per cell]  12 Ni 2.51-2.53
Al: 0.0000 0.2503 0.0000 [4 per cell]  12 Ni 2.51-2.54
Cr: 0.0000 0.2503 0.5000 [4 per cell]  12 Ni 2.48-2.51
Cr: 0.0000 0.5000 0.2487 [4 per cell]  12 Ni 2.48-2.52
Ni: 0.0000 0.0000 0.0000 [2 per cell]  4 Al 2.51, 8 Ni 2.52
Ni: 0.0000 0.0000 0.5000 [2 per cell]  2 Cr 2.51, 2 Al 2.51, 8 Ni 2.52
Ni: 0.0000 0.2519 0.2534 [8 per cell]  8 Ni 2.48-2.55, 2 Cr 2.48-2.49, 2 Al 2.53-2.54
Ni: 0.0000 0.5000 0.0000 [2 per cell]  2 Cr 2.50, 8 Ni 2.50, 2 Al 2.51
Ni: 0.0000 0.5000 0.5000 [2 per cell]  8 Ni 2.50, 4 Cr 2.51-2.52
Ni: 0.2483 0.3744 0.3759 [16 per cell]  8 Ni 2.48-2.52, 3 Cr 2.49-2.52, 1 Al 2.53
Ni: 0.2478 0.3759 0.1262 [16 per cell]  1 Cr 2.48, 8 Ni 2.49-2.55, 3 Al 2.51-2.53


No. 9
Material: PmNd4Al
Method: DFT, PBE
State: relaxed

relative energy among the computed polymorphs	0	meV/atom
E_form	-0.0948	eV per atom
total energy	-4.689	eV/atom

a = 3.6424 Å, b = 3.6424 Å, c = 14.5298 Å
α = 90.00°, β = 90.00°, γ = 90.00°
Closest atoms and distances in Å follow each position.
Space group P4/mmm (No. 123)
Inequivalent atoms, fractional coordinates:
Pm: 0.0000 0.0000 0.0000 [1 per cell]  4 Pm 3.64, 8 Nd 3.67
Nd: 0.0000 0.0000 0.3655 [2 per cell]  4 Al 3.23
Nd: 0.5000 0.5000 0.1804 [2 per cell]  8 Nd 3.64-3.72, 4 Pm 3.67
Al: 0.5000 0.5000 0.5000 [1 per cell]  8 Nd 3.23


No. 10
Material: CsTlGaBi
Method: DFT, PBE
State: relaxed

E_form	-0.1382	eV per atom
total energy	-2.670	eV/atom

a = 4.7919 Å, b = 4.7919 Å, c = 14.6700 Å
α = 90.00°, β = 90.00°, γ = 90.00°
Closest atoms and distances in Å follow each position.
Space group P4/nmm (No. 129, origin choice 2)
Inequivalent atoms, fractional coordinates:
Cs: 0.2500 0.2500 0.2454 [2 per cell]  4 Bi 3.98, 4 Tl 4.32, 4 Ga 4.44
Tl: 0.2500 0.7500 0.0000 [2 per cell]  4 Tl 3.39
Ga: 0.2500 0.7500 0.5000 [2 per cell]  4 Bi 2.90
Bi: 0.2500 0.2500 0.6117 [2 per cell]  4 Ga 2.90


No. 11
Material: MnPPtCl2
Method: DFT, PBE
State: relaxed

relative energy among the computed polymorphs	79	meV/atom
total energy	-4.394	eV/atom
E_form (uncorrected)	45.3	kJ per mole of atoms

a = 4.4324 Å, b = 4.4324 Å, c = 5.2146 Å
α = 90.00°, β = 90.00°, γ = 90.00°
Closest atoms and distances in Å follow each position.
Space group P4/mmm (No. 123)
Inequivalent atoms, fractional coordinates:
Mn: 0.0000 0.0000 0.0000 [1 per cell]  4 Cl 2.22
P: 0.0000 0.0000 0.5000 [1 per cell]  2 Mn 2.61
Pt: 0.5000 0.5000 0.5000 [1 per cell]  4 P 3.13, 8 Cl 3.42
Cl: 0.0000 0.5000 0.0000 [2 per cell]  2 Mn 2.22


No. 12
Material: TaPbBr2N
Method: DFT, PBE
State: relaxed

total energy	-4.312	eV/atom
E_form (uncorrected)	109.5	kJ per mole of atoms

a = 4.9095 Å, b = 4.9095 Å, c = 5.9386 Å
α = 90.00°, β = 90.00°, γ = 90.00°
Closest atoms and distances in Å follow each position.
Space group P4/mmm (No. 123)
Inequivalent atoms, fractional coordinates:
Ta: 0.0000 0.0000 0.0000 [1 per cell]  4 Br 2.45
Pb: 0.0000 0.0000 0.5000 [1 per cell]  2 Ta 2.97
Br: 0.0000 0.5000 0.0000 [2 per cell]  2 Ta 2.45
N: 0.5000 0.5000 0.5000 [1 per cell]  4 Pb 3.47, 8 Br 3.85


| no. | magnetization (μB/cell) |
| --- | --- |
| 1 | 0.000 |
| 2 | 0.000 |
| 3 | 0.000 |
| 4 | 0.000 |
| 5 | 0.212 |
| 6 | 0.000 |
| 7 | 5.990 |
| 8 | 10.673 |
| 9 | 0.000 |
| 10 | 0.000 |
| 11 | 3.062 |
| 12 | 0.780 |